VASP calculation (PBE) on an optimized crystal structure of Cd2SiTe.

Unit cell a=6.535 b=6.535 c=6.535 alpha=143.20 beta=143.20 gamma=53.02
Sites, in units of the cell vectors:
Cd: 0.250 0.750 0.500
Cd: 0.750 0.250 0.500
Si: 0.000 0.000 0.000
Te: 0.500 0.500 0.000

Computed properties:
Its total magnetization is 0.0 μB/f.u. Its energy relative to the lowest polymorph listed for this composition is 17.2 kJ per mole of atoms. The energy relative to the elements, uncorrected is 0.310 eV per atom. The total energy comes out at -2.29 eV/atom. For the density of states at the Fermi level, the calculation gives 0.347 states/eV/atom.


VASP calculation (PBE) on an optimized crystal structure of CdSiTe4.

Unit cell a=6.330 b=6.330 c=6.330 alpha=60.00 beta=60.00 gamma=60.00
Sites, in units of the cell vectors:
Cd: 0.000 0.000 0.000
Si: 0.750 0.750 0.750
Te: 0.375 0.375 0.375
Te: 0.375 0.375 0.875
Te: 0.375 0.875 0.375
Te: 0.875 0.375 0.375

Computed properties:
Its total magnetization is 0.0 μB/f.u. The energy relative to the elements, uncorrected is 0.648 eV per atom. The total energy comes out at -2.50 eV/atom. For the density of states at the Fermi level, the calculation gives 0.373 states/eV/atom.